This record from the Alexandria database describes a geometry-optimized Cd3HgPb5 structure. The functional is PBE.

Calculated values
The calculation puts the calculated total energy at -2.251 eV per atom. Its formation energy is 0.148 eV/atom.

abc: 7.1001 7.1001 11.4098
angles: 84.92 84.92 82.43
Atoms (fractional coordinates):
Pb: 0.5994 0.0349 0.6618
Pb: 0.0349 0.5994 0.6618
Pb: 0.9651 0.4006 0.3382
Pb: 0.2834 0.2834 0.8558
Pb: 0.6751 0.3249 0.0000
Pb: 0.4006 0.9651 0.3382
Pb: 0.3249 0.6751 0.0000
Pb: 0.5558 0.5558 0.6989
Pb: 0.4442 0.4442 0.3011
Pb: 0.7166 0.7166 0.1442
Cd: 0.2404 0.2404 0.1243
Cd: 0.7277 0.7277 0.4589
Cd: 0.0000 0.0000 0.5000
Cd: 0.2723 0.2723 0.5411
Cd: 0.0000 0.0000 0.0000
Cd: 0.7596 0.7596 0.8757
Hg: 0.0363 0.0363 0.7432
Hg: 0.9637 0.9637 0.2568

This record from the Alexandria database describes a geometry-optimized Cd6Hg23Pb structure. The functional is PBE.

Calculated values
The calculation puts the calculated total energy at -0.505 eV per atom. Its formation energy is 0.033 eV/atom.

abc: 10.5681 10.5240 10.7827
angles: 68.67 46.76 69.21
Atoms (fractional coordinates):
Cd: 0.2468 0.7553 0.7533
Cd: 0.2457 0.2416 0.7551
Cd: 0.7510 0.2474 0.7504
Cd: 0.2490 0.7526 0.2496
Cd: 0.7532 0.2447 0.2467
Cd: 0.7543 0.7584 0.2449
Hg: 0.5000 0.0000 0.0000
Hg: 0.1232 0.6302 0.1232
Hg: 0.1007 0.6372 0.6287
Hg: 0.3973 0.8634 0.8718
Hg: 0.0000 0.0000 0.5000
Hg: 0.5000 0.0000 0.5000
Hg: 0.0000 0.0000 0.0000
Hg: 0.6027 0.1366 0.1282
Hg: 0.0000 0.5000 0.0000
Hg: 0.6222 0.1301 0.6237
Hg: 0.3724 0.3653 0.3713
Hg: 0.5000 0.5000 0.0000
Hg: 0.1272 0.1332 0.1303
Hg: 0.8740 0.8665 0.3908
Hg: 0.3778 0.8699 0.3763
Hg: 0.0000 0.5000 0.5000
Hg: 0.8768 0.3698 0.8768
Hg: 0.8728 0.8668 0.8697
Hg: 0.6276 0.6347 0.6287
Hg: 0.8993 0.3628 0.3713
Hg: 0.1260 0.1335 0.6092
Hg: 0.3735 0.3631 0.8944
Hg: 0.6265 0.6369 0.1056
Pb: 0.5000 0.5000 0.5000

This record from the Alexandria database describes a geometry-optimized Cd2Hg7Pb2 structure. The functional is PBE.

Calculated values
The calculation puts the calculated total energy at -0.981 eV per atom. Its formation energy is 0.051 eV/atom. The excess energy over the best structure of this formula in the dataset is 0.11 eV/f.u.

abc: 7.3955 9.1314 9.1314
angles: 63.42 44.52 44.52
Atoms (fractional coordinates):
Hg: 0.3128 0.4495 0.9149
Hg: 0.3128 0.9149 0.4495
Hg: 0.8661 0.3892 0.3892
Hg: 0.6872 0.0851 0.5505
Hg: 0.1339 0.6108 0.6108
Hg: 0.5000 0.0000 0.0000
Hg: 0.6872 0.5505 0.0851
Cd: 0.6151 0.6786 0.6786
Cd: 0.3849 0.3214 0.3214
Pb: 0.0000 0.1785 0.8215
Pb: 0.0000 0.8215 0.1785

This record from the Alexandria database describes a geometry-optimized CdHgPb4 structure. The functional is PBE.

Calculated values
The calculation puts the calculated total energy at -2.579 eV per atom. Its formation energy is 0.096 eV/atom. The excess energy over the best structure of this formula in the dataset is 0.21 eV/f.u.

abc: 4.5116 7.6184 11.3206
angles: 90.00 101.49 90.00
Atoms (fractional coordinates):
Pb: 0.0266 0.6191 0.0533
Pb: 0.2950 0.5865 0.5900
Pb: 0.7050 0.0865 0.4100
Pb: 0.3189 0.1518 0.6379
Pb: 0.6811 0.6518 0.3621
Pb: 0.9734 0.1191 0.9467
Pb: 0.4284 0.8132 0.8568
Pb: 0.5716 0.3132 0.1432
Cd: 0.8254 0.8561 0.6507
Cd: 0.1746 0.3561 0.3493
Hg: 0.5711 0.9068 0.1423
Hg: 0.4289 0.4068 0.8577

This record from the Alexandria database describes a geometry-optimized Cd3Hg2Pb structure. The functional is PBE.

Calculated values
The calculation puts the calculated total energy at -1.098 eV per atom. Its formation energy is 0.078 eV/atom. The excess energy over the best structure of this formula in the dataset is 0.25 eV/f.u.

abc: 4.3306 4.3306 17.3621
angles: 97.16 97.16 90.00
Atoms (fractional coordinates):
Cd: 0.0426 0.5426 0.0853
Cd: 0.9574 0.4574 0.9147
Cd: 0.4574 0.9574 0.9147
Cd: 0.6879 0.6879 0.3757
Cd: 0.5426 0.0426 0.0853
Cd: 0.3121 0.3121 0.6243
Hg: 0.6036 0.6036 0.2072
Hg: 0.2500 0.7500 0.5000
Hg: 0.7500 0.2500 0.5000
Hg: 0.3964 0.3964 0.7928
Pb: 0.1403 0.1403 0.2805
Pb: 0.8597 0.8597 0.7195

This record from the Alexandria database describes a geometry-optimized Cd4Hg4Pb5 structure. The functional is PBE.

Calculated values
The calculation puts the calculated total energy at -1.761 eV per atom. Its formation energy is 0.040 eV/atom.

abc: 4.6892 9.0342 9.0342
angles: 86.14 74.96 74.96
Atoms (fractional coordinates):
Cd: 0.4194 0.6803 0.4808
Cd: 0.0998 0.4808 0.3197
Cd: 0.9002 0.5192 0.6803
Cd: 0.5806 0.3197 0.5192
Pb: 0.3804 0.3151 0.9242
Pb: 0.3046 0.0758 0.3151
Pb: 0.6196 0.6849 0.0758
Pb: 0.0000 0.0000 0.0000
Pb: 0.6954 0.9242 0.6849
Hg: 0.7507 0.3239 0.1747
Hg: 0.9254 0.8253 0.3239
Hg: 0.0746 0.1747 0.6761
Hg: 0.2493 0.6761 0.8253

This record from the Alexandria database describes a geometry-optimized CdHg6Pb5 structure. The functional is PBE.

Calculated values
The calculation puts the calculated total energy at -1.739 eV per atom. Its formation energy is 0.033 eV/atom.

abc: 8.5640 7.1041 6.6260
angles: 74.49 82.99 114.96
Atoms (fractional coordinates):
Hg: 0.5157 0.2530 0.9898
Hg: 0.1744 0.2461 0.3062
Hg: 0.8256 0.7539 0.6938
Hg: 0.8473 0.2466 0.6660
Hg: 0.4843 0.7470 0.0102
Hg: 0.1527 0.7534 0.3340
Pb: 0.6729 0.9960 0.3401
Pb: 0.0000 0.5000 0.0000
Pb: 0.3271 0.0040 0.6599
Pb: 0.6757 0.5128 0.3329
Pb: 0.3243 0.4872 0.6671
Cd: 0.0000 0.0000 0.0000

This record from the Alexandria database describes a geometry-optimized CdHgPb2 structure. The functional is PBE.

Calculated values
The calculation puts the calculated total energy at -2.042 eV per atom. Its formation energy is 0.117 eV/atom. The excess energy over the best structure of this formula in the dataset is 0.38 eV/f.u.

abc: 4.7855 4.7855 6.8090
angles: 69.43 69.43 60.00
Atoms (fractional coordinates):
Pb: 0.2563 0.2563 0.2310
Pb: 0.0776 0.0776 0.7671
Cd: 0.4977 0.4977 0.5069
Hg: 0.6683 0.6683 0.9950